The following is a PBE with a Hubbard U calculation of a relaxed Na2MgWO4 crystal, from the Alexandria database.

**Mass density**: 5611 kg/m³
**Calculated total energy**: -5.9633 eV/atom
**SG**: P2/m, No. 10

CIF file:
```
data_Na2MgWO4
_symmetry_space_group_name_H-M 'P 1'
_symmetry_Int_Tables_number 1
_symmetry_space_group_name_Hall 'P 1'
_cell_length_a 5.4353
_cell_length_b 3.1880
_cell_length_c 5.7242
_cell_angle_alpha 90.00
_cell_angle_beta 108.36
_cell_angle_gamma 90.00
loop_
_atom_site_label
_atom_site_type_symbol
_atom_site_fract_x
_atom_site_fract_y
_atom_site_fract_z
Na1 Na 0.0000 0.0000 0.0000
Na2 Na 0.5000 0.5000 0.0000
Mg1 Mg 0.0000 0.5000 0.5000
W1 W 0.5000 0.0000 0.5000
O1 O 0.2428 0.0000 0.6984
O2 O 0.2691 0.5000 0.2925
O3 O 0.7309 0.5000 0.7075
O4 O 0.7572 0.0000 0.3016
```